Compound: RbNdCr2O8
Source: the Alexandria database
Functional: PBE+U
Structure: optimized geometry

Unit cell a=5.8883 b=5.8883 c=8.1614 alpha=90.00 beta=90.00 gamma=120.00
Closest atoms and distances in Å follow each position.
Fractional positions:
Rb: 0.0000 0.0000 0.0000  12 O 3.16-3.42
Nd: 0.0000 0.0000 0.5000  6 O 2.35
Cr: 0.3333 0.6667 0.7512  4 O 1.62-1.68
Cr: 0.6667 0.3333 0.2488  4 O 1.62-1.68
O: 0.1725 0.3557 0.6833  1 Cr 1.68
O: 0.1833 0.8275 0.6833  1 Cr 1.68
O: 0.3333 0.6667 0.9498  1 Cr 1.62
O: 0.3557 0.1833 0.3167  1 Cr 1.68
O: 0.6443 0.8167 0.6833  1 Cr 1.68
O: 0.6667 0.3333 0.0502  1 Cr 1.62
O: 0.8167 0.1725 0.3167  1 Cr 1.68
O: 0.8275 0.6443 0.3167  1 Cr 1.68

Results
Space-group type: No. 147
Crystal system: trigonal
Total DFT energy (no corrections) (eV per cell): -82.84